The following is a PBE calculation of a geometry-optimized BaSi2P structure, from Alexandria.

a = 4.8777 Å, b = 4.8777 Å, c = 5.8498 Å
α = 104.91°, β = 104.91°, γ = 43.51°
Last column: nearest neighbours and their distance in Å.
Positions (direct):
1 Ba 0.0000 0.0000 0.0000  8 Si 3.35-3.63, 4 P 3.44, 2 Ba 3.62
2 Si 0.2179 0.2179 0.6218  2 Si 2.47, 2 P 2.63
3 Si 0.7821 0.7821 0.3782  2 Si 2.47, 2 P 2.63
4 P 0.5000 0.5000 0.5000  6 Si 2.63-2.84

Output
Its total magnetization is 0.0 μB per cell. As for the formation energy (no corrections): -167 meV/atom. Its symmetry is C2/m (12).